DFT (PBE-GGA) results for crystalline Ho3SbTe3 at its relaxed geometry.

Cell lengths 7.7193, 7.7193, 32.4278 Å; angles 90.00, 90.00, 120.00 degrees
Space group R-3 (No. 148, hexagonal axes)
Symmetry-distinct sites (fractional):
Ho 0.0000 0.3752 0.0615 (multiplicity 18)
Sb 0.0000 0.0000 0.3333 (multiplicity 6)
Te 0.9999 0.3003 0.8938 (multiplicity 18)

E_tot   -4.98 eV per atom
Volume   39.84 Å³/atom
ρ   5.95 g/cm3



DFT (PBE-GGA) results for crystalline HoSb3Te6 at its relaxed geometry.

Cell lengths 12.964, 4.273, 13.097 Å; angles 90.00, 108.67, 90.00 degrees
Space group P2_1/m (No. 11)
Symmetry-distinct sites (fractional):
Ho 0.192 0.250 0.039 (multiplicity 2)
Sb 0.040 0.750 0.298 (multiplicity 2)
Sb 0.341 0.250 0.439 (multiplicity 2)
Sb 0.397 0.750 0.853 (multiplicity 2)
Te 0.029 0.750 0.898 (multiplicity 2)
Te 0.122 0.250 0.466 (multiplicity 2)
Te 0.235 0.250 0.805 (multiplicity 2)
Te 0.235 0.750 0.235 (multiplicity 2)
Te 0.388 0.750 0.071 (multiplicity 2)
Te 0.420 0.750 0.600 (multiplicity 2)

E_tot   -3.99 eV per atom
Volume   34.36 Å³/atom
ρ   6.26 g/cm3



DFT (PBE-GGA) results for crystalline Ho2SbTe2 at its relaxed geometry.

Cell lengths 4.3505, 4.3505, 31.5465 Å; angles 90.00, 90.00, 120.00 degrees
Space group R-3m (No. 166, hexagonal axes)
Symmetry-distinct sites (fractional):
Ho 0.0000 0.0000 0.1069 (multiplicity 6)
Sb 0.0000 0.0000 0.5000 (multiplicity 3)
Te 0.0000 0.0000 0.2785 (multiplicity 6)

E_tot   -4.97 eV per atom
D(E_F)   0.666 states/eV/atom
Volume   34.47 Å³/atom
ρ   6.81 g/cm3



DFT (PBE-GGA) results for crystalline Ho3Sb2Te2 at its relaxed geometry.

Cell lengths 16.354, 4.291, 7.582 Å; angles 90.00, 116.58, 90.00 degrees
Space group C2/m (No. 12)
Symmetry-distinct sites (fractional):
Ho 0.000 0.000 0.000 (multiplicity 2)
Ho 0.240 0.500 0.732 (multiplicity 4)
Sb 0.129 0.500 0.973 (multiplicity 4)
Te 0.123 0.000 0.450 (multiplicity 4)

E_tot   -5.08 eV per atom
D(E_F)   0.541 states/eV/atom
Volume   33.99 Å³/atom
ρ   6.93 g/cm3



DFT (PBE-GGA) results for crystalline HoThSbTe at its relaxed geometry.

Cell lengths 7.629, 7.629, 7.629 Å; angles 90.00, 90.00, 90.00 degrees
Space group F-43m (No. 216)
Symmetry-distinct sites (fractional):
Ho 0.000 0.000 0.000 (multiplicity 4)
Th 0.000 0.000 0.500 (multiplicity 4)
Sb 0.250 0.250 0.750 (multiplicity 4)
Te 0.250 0.250 0.250 (multiplicity 4)

E_tot   -5.78 eV per atom
D(E_F)   0.940 states/eV/atom
Volume   27.75 Å³/atom
ρ   9.67 g/cm3



DFT (PBE-GGA) results for crystalline HoTh2Sb2Te2 at its relaxed geometry.

Cell lengths 5.671, 5.671, 15.703 Å; angles 90.00, 90.00, 90.00 degrees
Space group I4/mmm (No. 139)
Symmetry-distinct sites (fractional):
Ho 0.000 0.000 0.000 (multiplicity 2)
Th 0.000 0.000 0.387 (multiplicity 4)
Sb 0.000 0.500 0.000 (multiplicity 4)
Te 0.000 0.000 0.192 (multiplicity 4)

E_tot   -5.48 eV per atom
D(E_F)   0.414 states/eV/atom
Volume   36.07 Å³/atom
ρ   7.42 g/cm3



DFT (PBE-GGA) results for crystalline HoThSbTe at its relaxed geometry.

Cell lengths 4.427, 4.427, 6.276 Å; angles 90.00, 90.00, 90.00 degrees
Space group P4/mmm (No. 123)
Symmetry-distinct sites (fractional):
Ho 0.000 0.000 0.000 (multiplicity 1)
Th 0.500 0.500 0.500 (multiplicity 1)
Sb 0.500 0.500 0.000 (multiplicity 1)
Te 0.000 0.000 0.500 (multiplicity 1)

E_tot   -5.88 eV per atom
D(E_F)   0.704 states/eV/atom
Volume   30.76 Å³/atom
ρ   8.72 g/cm3



DFT (PBE-GGA) results for crystalline Ho6Tl2SbTe3 at its relaxed geometry.

Cell lengths 19.567, 4.359, 8.761 Å; angles 90.00, 111.92, 90.00 degrees
Space group C2/m (No. 12)
Symmetry-distinct sites (fractional):
Ho 0.011 0.000 0.251 (multiplicity 4)
Ho 0.161 0.500 0.642 (multiplicity 4)
Ho 0.169 0.500 0.143 (multiplicity 4)
Tl 0.187 0.000 0.412 (multiplicity 4)
Sb 0.000 0.500 0.000 (multiplicity 2)
Te 0.000 0.500 0.500 (multiplicity 2)
Te 0.162 0.000 0.885 (multiplicity 4)

E_tot   -4.75 eV per atom
D(E_F)   0.384 states/eV/atom
Volume   28.88 Å³/atom
ρ   9.12 g/cm3



DFT (PBE-GGA) results for crystalline Ho4TlSbTe2 at its relaxed geometry.

Cell lengths 7.619, 4.286, 7.621 Å; angles 90.00, 108.67, 90.00 degrees
Space group P2/m (No. 10)
Symmetry-distinct sites (fractional):
Ho 0.246 0.000 0.241 (multiplicity 2)
Ho 0.250 0.500 0.763 (multiplicity 2)
Tl 0.000 0.500 0.000 (multiplicity 1)
Sb 0.500 0.000 0.000 (multiplicity 1)
Te 0.000 0.000 0.500 (multiplicity 1)
Te 0.500 0.500 0.500 (multiplicity 1)

E_tot   -4.89 eV per atom
D(E_F)   0.346 states/eV/atom
Volume   29.47 Å³/atom
ρ   8.74 g/cm3



DFT (PBE-GGA) results for crystalline HoTl2SbTe4 at its relaxed geometry.

Cell lengths 7.773, 4.463, 8.474 Å; angles 90.00, 107.70, 90.00 degrees
Space group P2/m (No. 10)
Symmetry-distinct sites (fractional):
Ho 0.000 0.000 0.000 (multiplicity 1)
Tl 0.000 0.500 0.500 (multiplicity 1)
Tl 0.500 0.000 0.500 (multiplicity 1)
Sb 0.500 0.500 0.000 (multiplicity 1)
Te 0.237 0.500 0.212 (multiplicity 2)
Te 0.261 0.000 0.787 (multiplicity 2)

E_tot   -3.88 eV per atom
D(E_F)   0.006 states/eV/atom
Volume   35.00 Å³/atom
ρ   7.15 g/cm3



DFT (PBE-GGA) results for crystalline Ho2Tl3SbTe6 at its relaxed geometry.

Cell lengths 7.729, 13.395, 8.513 Å; angles 90.00, 107.63, 90.00 degrees
Space group C2/m (No. 12)
Symmetry-distinct sites (fractional):
Ho 0.000 0.167 0.000 (multiplicity 4)
Tl 0.000 0.000 0.500 (multiplicity 2)
Tl 0.000 0.332 0.500 (multiplicity 4)
Sb 0.000 0.500 0.000 (multiplicity 2)
Te 0.237 0.333 0.211 (multiplicity 8)
Te 0.238 0.000 0.213 (multiplicity 4)

E_tot   -4.04 eV per atom
D(E_F)   0.000 states/eV/atom
Volume   35.00 Å³/atom
ρ   7.24 g/cm3



DFT (PBE-GGA) results for crystalline Ho2TmSb2Te2 at its relaxed geometry.

Cell lengths 5.676, 5.676, 15.087 Å; angles 90.00, 90.00, 90.00 degrees
Space group I4/mmm (No. 139)
Symmetry-distinct sites (fractional):
Ho 0.000 0.000 0.112 (multiplicity 4)
Tm 0.000 0.000 0.500 (multiplicity 2)
Sb 0.000 0.500 0.000 (multiplicity 4)
Te 0.000 0.000 0.302 (multiplicity 4)

E_tot   -4.67 eV per atom
D(E_F)   0.697 states/eV/atom
Volume   34.72 Å³/atom
ρ   6.82 g/cm3